# 1
## Y2BiAs2 (GGA-PBE)

Data for crystalline Y2BiAs2 at its relaxed geometry.

## Properties
energy	-6.040	eV per atom
formation energy	-818.7	meV/atom
crystal system	tetragonal
polymorph energy (0 for the lowest one)	93	meV/atom
space group	No. 127

```
data_Y2BiAs2
_chemical_formula_sum 'Y4 Bi2 As4'
_space_group_name_H-M_alt 'P 1'
_space_group_IT_number 1
_space_group_name_Hall 'P 1'
_cell_length_a 8.1235
_cell_length_b 8.1235
_cell_length_c 3.8352
_cell_angle_alpha 90.00
_cell_angle_beta 90.00
_cell_angle_gamma 90.00
loop_
_atom_site_label
_atom_site_type_symbol
_atom_site_fract_x
_atom_site_fract_y
_atom_site_fract_z
Y1 Y 0.6515 0.1515 0.0000
Y2 Y 0.1515 0.3485 0.0000
Y3 Y 0.3485 0.8485 0.0000
Y4 Y 0.8485 0.6515 0.0000
As1 As 0.1554 0.6554 0.5000
As2 As 0.8446 0.3446 0.5000
As3 As 0.3446 0.1554 0.5000
As4 As 0.6554 0.8446 0.5000
Bi1 Bi 0.5000 0.5000 0.0000
Bi2 Bi 0.0000 0.0000 0.0000
```



# 2
## SrSi2Os (GGA-PBE)

Data for crystalline SrSi2Os at its relaxed geometry.

## Properties
energy	-5.695	eV per atom
crystal system	cubic
space group	No. 225

```
data_SrSi2Os
_chemical_formula_sum 'Sr1 Si2 Os1'
_space_group_name_H-M_alt 'P 1'
_space_group_IT_number 1
_space_group_name_Hall 'P 1'
_cell_length_a 4.6049
_cell_length_b 4.6049
_cell_length_c 4.6049
_cell_angle_alpha 60.00
_cell_angle_beta 60.00
_cell_angle_gamma 60.00
loop_
_atom_site_label
_atom_site_type_symbol
_atom_site_fract_x
_atom_site_fract_y
_atom_site_fract_z
Si1 Si 0.7500 0.7500 0.7500
Si2 Si 0.2500 0.2500 0.2500
Os1 Os 0.5000 0.5000 0.5000
Sr1 Sr 0.0000 0.0000 0.0000
```



# 3
## RbMgTlIn (GGA-PBE)

Data for crystalline RbMgTlIn at its relaxed geometry.

## Properties
energy	-1.821	eV per atom
formation energy	95.8	meV/atom
crystal system	cubic
space group	No. 216

```
data_RbMgTlIn
_chemical_formula_sum 'Rb1 Mg1 Tl1 In1'
_space_group_name_H-M_alt 'P 1'
_space_group_IT_number 1
_space_group_name_Hall 'P 1'
_cell_length_a 5.6513
_cell_length_b 5.6513
_cell_length_c 5.6513
_cell_angle_alpha 60.00
_cell_angle_beta 60.00
_cell_angle_gamma 60.00
loop_
_atom_site_label
_atom_site_type_symbol
_atom_site_fract_x
_atom_site_fract_y
_atom_site_fract_z
In1 In 0.7500 0.7500 0.7500
Rb1 Rb 0.0000 0.0000 0.0000
Mg1 Mg 0.5000 0.5000 0.5000
Tl1 Tl 0.2500 0.2500 0.2500
```



# 4
## Rb2TlSn10 (GGA-PBE)

Data for crystalline Rb2TlSn10 at its relaxed geometry.

## Properties
energy	-3.395	eV per atom
formation energy	14.8	meV/atom
crystal system	orthorhombic
space group	No. 55

```
data_Rb2TlSn10
_chemical_formula_sum 'Rb4 Tl2 Sn20'
_space_group_name_H-M_alt 'P 1'
_space_group_IT_number 1
_space_group_name_Hall 'P 1'
_cell_length_a 6.7090
_cell_length_b 12.0334
_cell_length_c 12.9540
_cell_angle_alpha 90.00
_cell_angle_beta 90.00
_cell_angle_gamma 90.00
loop_
_atom_site_label
_atom_site_type_symbol
_atom_site_fract_x
_atom_site_fract_y
_atom_site_fract_z
Sn1 Sn 0.2666 0.2598 0.6287
Sn2 Sn 0.2666 0.2402 0.1287
Sn3 Sn 0.0000 0.1727 0.7979
Sn4 Sn 0.0000 0.5732 0.2632
Sn5 Sn 0.0000 0.0732 0.2368
Sn6 Sn 0.7334 0.7598 0.8713
Sn7 Sn 0.0000 0.6447 0.0252
Sn8 Sn 0.0000 0.1447 0.4748
Sn9 Sn 0.0000 0.8553 0.5252
Sn10 Sn 0.2666 0.7402 0.3713
Sn11 Sn 0.7334 0.7402 0.3713
Sn12 Sn 0.0000 0.9268 0.7632
Sn13 Sn 0.0000 0.6727 0.7021
Sn14 Sn 0.0000 0.3553 0.9748
Sn15 Sn 0.0000 0.8273 0.2021
Sn16 Sn 0.0000 0.3273 0.2979
Sn17 Sn 0.2666 0.7598 0.8713
Sn18 Sn 0.0000 0.4268 0.7368
Sn19 Sn 0.7334 0.2598 0.6287
Sn20 Sn 0.7334 0.2402 0.1287
Rb1 Rb 0.5000 0.4609 0.8390
Rb2 Rb 0.5000 0.9609 0.6610
Rb3 Rb 0.5000 0.5391 0.1610
Rb4 Rb 0.5000 0.0391 0.3390
Tl1 Tl 0.0000 0.0000 0.0000
Tl2 Tl 0.0000 0.5000 0.5000
```



# 5
## NaAcLa2Se4 (GGA-PBE)

Data for crystalline NaAcLa2Se4 at its relaxed geometry.

## Properties
energy	-5.495	eV per atom
crystal system	monoclinic
space group	No. 10

```
data_NaAcLa2Se4
_chemical_formula_sum 'Na1 Ac1 La2 Se4'
_space_group_name_H-M_alt 'P 1'
_space_group_IT_number 1
_space_group_name_Hall 'P 1'
_cell_length_a 4.3473
_cell_length_b 7.6038
_cell_length_c 7.5162
_cell_angle_alpha 70.83
_cell_angle_beta 90.00
_cell_angle_gamma 90.00
loop_
_atom_site_label
_atom_site_type_symbol
_atom_site_fract_x
_atom_site_fract_y
_atom_site_fract_z
Se1 Se 0.0000 0.2451 0.2577
Se2 Se 0.0000 0.7549 0.7423
Se3 Se 0.5000 0.7557 0.2505
Se4 Se 0.5000 0.2443 0.7495
Na1 Na 0.0000 0.5000 0.5000
Ac1 Ac 0.5000 0.5000 0.0000
La1 La 0.5000 0.0000 0.5000
La2 La 0.0000 0.0000 0.0000
```



# 6
## ZnS2N2 (GGA-PBE)

Data for crystalline ZnS2N2 at its relaxed geometry.

## Properties
energy	-3.057	eV per atom
crystal system	tetragonal
polymorph energy (0 for the lowest one)	1031	meV/atom
space group	No. 123

```
data_ZnS2N2
_chemical_formula_sum 'Zn1 S2 N2'
_space_group_name_H-M_alt 'P 1'
_space_group_IT_number 1
_space_group_name_Hall 'P 1'
_cell_length_a 4.8763
_cell_length_b 4.8763
_cell_length_c 3.8224
_cell_angle_alpha 90.00
_cell_angle_beta 90.00
_cell_angle_gamma 90.00
loop_
_atom_site_label
_atom_site_type_symbol
_atom_site_fract_x
_atom_site_fract_y
_atom_site_fract_z
Zn1 Zn 0.0000 0.0000 0.0000
N1 N 0.0000 0.0000 0.5000
N2 N 0.5000 0.5000 0.5000
S1 S 0.5000 0.0000 0.0000
S2 S 0.0000 0.5000 0.0000
```



# 7
## Li2CaTe (GGA-PBE)

Data for crystalline Li2CaTe at its relaxed geometry.

## Properties
energy	-2.927	eV per atom
crystal system	monoclinic
space group	No. 6

```
data_Li2CaTe
_chemical_formula_sum 'Li2 Ca1 Te1'
_space_group_name_H-M_alt 'P 1'
_space_group_IT_number 1
_space_group_name_Hall 'P 1'
_cell_length_a 4.2442
_cell_length_b 4.0933
_cell_length_c 6.5529
_cell_angle_alpha 72.13
_cell_angle_beta 90.00
_cell_angle_gamma 90.00
loop_
_atom_site_label
_atom_site_type_symbol
_atom_site_fract_x
_atom_site_fract_y
_atom_site_fract_z
Li1 Li 0.0000 0.9969 0.1278
Li2 Li 0.5000 0.4560 0.2089
Te1 Te 0.0000 0.3228 0.4811
Ca1 Ca 0.5000 0.7243 0.6822
```



# 8
## Zn2CuW (GGA-PBE)

Data for crystalline Zn2CuW at its relaxed geometry.

## Properties
energy	-4.234	eV per atom
formation energy	665.4	meV/atom
crystal system	tetragonal
polymorph energy (0 for the lowest one)	561	meV/atom
space group	No. 122

```
data_Zn2CuW
_chemical_formula_sum 'Zn4 Cu2 W2'
_space_group_name_H-M_alt 'P 1'
_space_group_IT_number 1
_space_group_name_Hall 'P 1'
_cell_length_a 6.7999
_cell_length_b 6.7999
_cell_length_c 5.4744
_cell_angle_alpha 51.61
_cell_angle_beta 51.61
_cell_angle_gamma 90.00
loop_
_atom_site_label
_atom_site_type_symbol
_atom_site_fract_x
_atom_site_fract_y
_atom_site_fract_z
Zn1 Zn 0.5995 0.1250 0.2500
Zn2 Zn 0.3750 0.4005 0.7500
Zn3 Zn 0.1505 0.6250 0.2500
Zn4 Zn 0.8750 0.8495 0.7500
W1 W 0.7500 0.2500 0.5000
W2 W 0.0000 0.0000 0.0000
Cu1 Cu 0.2500 0.7500 0.5000
Cu2 Cu 0.5000 0.5000 0.0000
```



# 9
## Tl2GaBIr (GGA-PBE)

Data for crystalline Tl2GaBIr at its relaxed geometry.

## Properties
energy	-3.362	eV per atom
formation energy	1297.4	meV/atom
crystal system	tetragonal
space group	No. 123

```
data_Tl2GaBIr
_chemical_formula_sum 'Tl2 Ga1 B1 Ir1'
_space_group_name_H-M_alt 'P 1'
_space_group_IT_number 1
_space_group_name_Hall 'P 1'
_cell_length_a 5.4356
_cell_length_b 3.7167
_cell_length_c 5.4356
_cell_angle_alpha 90.00
_cell_angle_beta 90.00
_cell_angle_gamma 90.00
loop_
_atom_site_label
_atom_site_type_symbol
_atom_site_fract_x
_atom_site_fract_y
_atom_site_fract_z
Ga1 Ga 0.0000 0.0000 0.0000
B1 B 0.0000 0.5000 0.0000
Ir1 Ir 0.5000 0.5000 0.5000
Tl1 Tl 0.5000 0.0000 0.0000
Tl2 Tl 0.0000 0.0000 0.5000
```



# 10
## Cs3ZrOs (GGA-PBE)

Data for crystalline Cs3ZrOs at its relaxed geometry.

## Properties
energy	-2.514	eV per atom
formation energy	1953.7	meV/atom
crystal system	cubic
polymorph energy (0 for the lowest one)	0	meV/atom
space group	No. 221

```
data_Cs3ZrOs
_chemical_formula_sum 'Cs3 Zr1 Os1'
_space_group_name_H-M_alt 'P 1'
_space_group_IT_number 1
_space_group_name_Hall 'P 1'
_cell_length_a 6.1431
_cell_length_b 6.1431
_cell_length_c 6.1431
_cell_angle_alpha 90.00
_cell_angle_beta 90.00
_cell_angle_gamma 90.00
loop_
_atom_site_label
_atom_site_type_symbol
_atom_site_fract_x
_atom_site_fract_y
_atom_site_fract_z
Cs1 Cs 0.0000 0.5000 0.0000
Cs2 Cs 0.5000 0.0000 0.0000
Cs3 Cs 0.0000 0.0000 0.5000
Zr1 Zr 0.5000 0.5000 0.5000
Os1 Os 0.0000 0.0000 0.0000
```



# 11
## SiTcSbI2 (GGA-PBE)

Data for crystalline SiTcSbI2 at its relaxed geometry.

## Properties
energy	-3.428	eV per atom
crystal system	tetragonal
polymorph energy (0 for the lowest one)	226	meV/atom
space group	No. 123

```
data_SiTcSbI2
_chemical_formula_sum 'Si1 Tc1 Sb1 I2'
_space_group_name_H-M_alt 'P 1'
_space_group_IT_number 1
_space_group_name_Hall 'P 1'
_cell_length_a 5.3870
_cell_length_b 5.3870
_cell_length_c 5.5292
_cell_angle_alpha 90.00
_cell_angle_beta 90.00
_cell_angle_gamma 90.00
loop_
_atom_site_label
_atom_site_type_symbol
_atom_site_fract_x
_atom_site_fract_y
_atom_site_fract_z
I1 I 0.0000 0.5000 0.0000
I2 I 0.5000 0.0000 0.0000
Sb1 Sb 0.0000 0.0000 0.5000
Tc1 Tc 0.5000 0.5000 0.5000
Si1 Si 0.0000 0.0000 0.0000
```



# 12
## ReNiSb (GGA-PBE)

Data for crystalline ReNiSb at its relaxed geometry.

## Properties
energy	-6.900	eV per atom
crystal system	cubic
polymorph energy (0 for the lowest one)	88	meV/atom
space group	No. 216

```
data_ReNiSb
_chemical_formula_sum 'Re1 Ni1 Sb1'
_space_group_name_H-M_alt 'P 1'
_space_group_IT_number 1
_space_group_name_Hall 'P 1'
_cell_length_a 4.3060
_cell_length_b 4.3060
_cell_length_c 4.3060
_cell_angle_alpha 60.00
_cell_angle_beta 60.00
_cell_angle_gamma 60.00
loop_
_atom_site_label
_atom_site_type_symbol
_atom_site_fract_x
_atom_site_fract_y
_atom_site_fract_z
Ni1 Ni 0.5000 0.5000 0.5000
Re1 Re 0.2500 0.2500 0.2500
Sb1 Sb 0.0000 0.0000 0.0000
```



# 13
## AlSiNO2 (GGA-PBE)

Data for crystalline AlSiNO2 at its relaxed geometry.

## Properties
energy	-6.634	eV per atom
crystal system	tetragonal
space group	No. 123

```
data_AlSiNO2
_chemical_formula_sum 'Al1 Si1 N1 O2'
_space_group_name_H-M_alt 'P 1'
_space_group_IT_number 1
_space_group_name_Hall 'P 1'
_cell_length_a 3.3603
_cell_length_b 3.3603
_cell_length_c 3.9817
_cell_angle_alpha 90.00
_cell_angle_beta 90.00
_cell_angle_gamma 90.00
loop_
_atom_site_label
_atom_site_type_symbol
_atom_site_fract_x
_atom_site_fract_y
_atom_site_fract_z
Al1 Al 0.5000 0.5000 0.5000
N1 N 0.0000 0.0000 0.5000
Si1 Si 0.0000 0.0000 0.0000
O1 O 0.5000 0.0000 0.0000
O2 O 0.0000 0.5000 0.0000
```



# 14
## LaPm2Pr (GGA-PBE)

Data for crystalline LaPm2Pr at its relaxed geometry.

## Properties
energy	-4.791	eV per atom
formation energy	11.5	meV/atom
crystal system	trigonal
polymorph energy (0 for the lowest one)	17	meV/atom
space group	No. 166

```
data_LaPm2Pr
_chemical_formula_sum 'La1 Pm2 Pr1'
_space_group_name_H-M_alt 'P 1'
_space_group_IT_number 1
_space_group_name_Hall 'P 1'
_cell_length_a 3.6971
_cell_length_b 3.6971
_cell_length_c 12.2089
_cell_angle_alpha 81.29
_cell_angle_beta 81.29
_cell_angle_gamma 60.00
loop_
_atom_site_label
_atom_site_type_symbol
_atom_site_fract_x
_atom_site_fract_y
_atom_site_fract_z
Pm1 Pm 0.2497 0.2497 0.2510
Pm2 Pm 0.7503 0.7503 0.7490
Pr1 Pr 0.5000 0.5000 0.5000
La1 La 0.0000 0.0000 0.0000
```



| no. | magnetic moment (μB per formula unit) |
| --- | --- |
| 1 | 0.00 |
| 2 | 0.00 |
| 3 | 0.00 |
| 4 | 0.00 |
| 5 | 0.00 |
| 6 | 2.58 |
| 7 | 0.00 |
| 8 | 0.00 |
| 9 | 0.00 |
| 10 | 2.86 |
| 11 | 4.39 |
| 12 | 1.16 |
| 13 | 0.00 |
| 14 | 0.00 |